VASP calculation (PBE) on an optimized crystal structure of GdAgTe3Pb.

a = 8.378 Å, b = 4.367 Å, c = 10.736 Å
α = 90.00°, β = 106.35°, γ = 90.00°
Fractional coordinates of all 12 atoms:
Te  0.422  0.750  0.135
Te  0.578  0.250  0.865
Ag  0.085  0.250  0.590
Pb  0.260  0.250  0.298
Gd  0.698  0.250  0.169
Te  0.286  0.750  0.538
Ag  0.915  0.750  0.410
Pb  0.740  0.750  0.702
Te  0.714  0.250  0.462
Gd  0.302  0.750  0.831
Te  0.954  0.750  0.158
Te  0.046  0.250  0.842

## Properties
Magnetization: 0.0 μB per formula unit
Excess energy over the best structure of this formula in the dataset: 0.006 eV per atom
Space group: P2_1/m, No. 11


VASP calculation (PBE) on an optimized crystal structure of LiMgBeZn.

a = 4.351 Å, b = 4.351 Å, c = 4.351 Å
α = 60.00°, β = 60.00°, γ = 60.00°
Fractional coordinates of all 4 atoms:
Mg  0.500  0.500  0.500
Zn  0.250  0.250  0.250
Be  0.750  0.750  0.750
Li  0.000  0.000  0.000

## Properties
Excess energy over the best structure of this formula in the dataset: 0.112 eV per atom
Space group: F-43m, No. 216


VASP calculation (PBE) on an optimized crystal structure of HfBeCuSi.

a = 4.259 Å, b = 4.259 Å, c = 4.259 Å
α = 60.00°, β = 60.00°, γ = 60.00°
Fractional coordinates of all 4 atoms:
Cu  0.750  0.750  0.750
Si  0.000  0.000  0.000
Hf  0.500  0.500  0.500
Be  0.250  0.250  0.250

## Properties
Magnetization: 0.0 μB per formula unit
Excess energy over the best structure of this formula in the dataset: 0.071 eV per atom
Space group: F-43m, No. 216


VASP calculation (PBE) on an optimized crystal structure of TbSiSb.

a = 4.840 Å, b = 4.840 Å, c = 4.840 Å
α = 60.00°, β = 60.00°, γ = 60.00°
Fractional coordinates of all 3 atoms:
Si  0.000  0.000  0.000
Sb  0.250  0.250  0.250
Tb  0.750  0.750  0.750

## Properties
Magnetization: 0.0 μB per formula unit
Excess energy over the best structure of this formula in the dataset: 0.000 eV per atom
Space group: F-43m, No. 216


VASP calculation (PBE) on an optimized crystal structure of Hf4AsC3.

a = 3.361 Å, b = 3.361 Å, c = 23.202 Å
α = 90.00°, β = 90.00°, γ = 120.00°
Fractional coordinates of all 16 atoms:
Hf  0.333  0.667  0.445
C  0.333  0.667  0.617
Hf  0.333  0.667  0.055
Hf  0.000  0.000  0.834
Hf  0.000  0.000  0.666
C  0.333  0.667  0.883
C  0.000  0.000  0.000
Hf  0.667  0.333  0.945
Hf  0.000  0.000  0.334
Hf  0.667  0.333  0.555
As  0.667  0.333  0.750
C  0.000  0.000  0.500
C  0.667  0.333  0.383
C  0.667  0.333  0.117
Hf  0.000  0.000  0.166
As  0.333  0.667  0.250

## Properties
Magnetization: 0.0 μB per formula unit
Space group: P6_3/mmc, No. 194
VASP energy: -79.9 eV/f.u.


VASP calculation (PBE) on an optimized crystal structure of Zr4InHgC2.

a = 3.363 Å, b = 3.363 Å, c = 15.056 Å
α = 90.00°, β = 90.00°, γ = 120.00°
Fractional coordinates of all 8 atoms:
Zr  0.333  0.667  0.166
Zr  0.333  0.667  0.834
C  0.667  0.333  0.249
C  0.667  0.333  0.751
In  0.333  0.667  0.500
Zr  0.000  0.000  0.668
Zr  0.000  0.000  0.332
Hg  0.000  0.000  0.000

## Properties
Magnetization: 0.0 μB per formula unit
Space group: P-6m2, No. 187
VASP energy: -60.8 eV/f.u.


VASP calculation (PBE) on an optimized crystal structure of CsZrFeTe3.

a = 10.265 Å, b = 4.047 Å, c = 10.852 Å
α = 90.00°, β = 117.78°, γ = 90.00°
Each line ends with the local moment (μB).
Fractional coordinates of all 12 atoms:
Te  0.974  0.250  0.643  0.02
Zr  0.195  0.750  0.667  -0.09
Te  0.390  0.250  0.653  0.02
Cs  0.260  0.250  0.246  0.00
Cs  0.740  0.750  0.754  0.00
Fe  0.571  0.750  0.087  2.73
Te  0.716  0.250  0.041  0.04
Fe  0.429  0.250  0.913  2.73
Te  0.610  0.750  0.347  0.02
Te  0.026  0.750  0.357  0.02
Te  0.284  0.750  0.959  0.04
Zr  0.805  0.250  0.333  -0.09

## Properties
Magnetization: 2.8 μB per formula unit
Space group: P2_1/m, No. 11
VASP energy: -31.4 eV/f.u.


VASP calculation (PBE) on an optimized crystal structure of Cs2GdErS4.

a = 4.095 Å, b = 4.095 Å, c = 16.073 Å
α = 90.00°, β = 90.00°, γ = 120.00°
Fractional coordinates of all 8 atoms:
S  0.333  0.667  0.910
S  0.333  0.667  0.593
S  0.667  0.333  0.090
Gd  0.000  0.000  0.500
Er  0.000  0.000  0.000
Cs  0.667  0.333  0.751
S  0.667  0.333  0.407
Cs  0.333  0.667  0.249

## Properties
Magnetization: 0.0 μB per formula unit
Space group: P-3m1, No. 164
VASP energy: -42.1 eV/f.u.


VASP calculation (PBE) on an optimized crystal structure of YTmGa4Ag2.

a = 6.628 Å, b = 5.693 Å, c = 5.693 Å
α = 46.71°, β = 90.00°, γ = 90.00°
Fractional coordinates of all 8 atoms:
Ag  0.000  0.700  0.700
Y  0.500  0.591  0.591
Ga  0.701  0.882  0.882
Ga  0.299  0.882  0.882
Tm  0.000  0.408  0.408
Ga  0.801  0.118  0.118
Ga  0.199  0.118  0.118
Ag  0.500  0.300  0.300

## Properties
Magnetization: 0.0 μB per formula unit
Space group: Amm2, No. 38
VASP energy: -32.4 eV/f.u.


VASP calculation (PBE) on an optimized crystal structure of CsPtO3.

a = 5.806 Å, b = 5.806 Å, c = 5.806 Å
α = 60.48°, β = 60.48°, γ = 60.48°
Fractional coordinates of all 10 atoms:
O  0.250  0.720  0.780
O  0.720  0.780  0.250
O  0.280  0.220  0.750
Cs  0.250  0.250  0.250
Pt  0.500  0.500  0.500
O  0.220  0.750  0.280
Cs  0.750  0.750  0.750
O  0.780  0.250  0.720
Pt  0.000  0.000  0.000
O  0.750  0.280  0.220

## Properties
Magnetization: 0.2 μB per formula unit
Space group: R-3c, No. 167
VASP energy: -23.6 eV/f.u.


VASP calculation (PBE) on an optimized crystal structure of Hf3Ag2Pb2.

a = 8.394 Å, b = 8.394 Å, c = 8.394 Å
α = 33.70°, β = 33.70°, γ = 33.70°
Fractional coordinates of all 7 atoms:
Hf  0.372  0.372  0.372
Pb  0.009  0.009  0.009
Pb  0.494  0.494  0.494
Hf  0.624  0.624  0.624
Ag  0.756  0.756  0.756
Hf  0.879  0.879  0.879
Ag  0.242  0.242  0.242

## Properties
Magnetization: 0.0 μB per formula unit
Space group: R3m, No. 160
VASP energy: -41.7 eV/f.u.


VASP calculation (PBE) on an optimized crystal structure of Lu4SnC2Se.

a = 3.603 Å, b = 3.603 Å, c = 14.169 Å
α = 90.00°, β = 90.00°, γ = 120.00°
Fractional coordinates of all 8 atoms:
Se  0.000  0.000  0.000
C  0.667  0.333  0.230
Lu  0.000  0.000  0.680
Sn  0.333  0.667  0.500
Lu  0.333  0.667  0.861
Lu  0.333  0.667  0.139
C  0.667  0.333  0.770
Lu  0.000  0.000  0.320

## Properties
Magnetization: 0.0 μB per formula unit
Space group: P-6m2, No. 187
VASP energy: -51.2 eV/f.u.